VASP calculation (PBE with a Hubbard U) on CoOsN2O after structural relaxation.

Structure (POSCAR):
```
CoOsN2O
1.0
-0.052 -3.234 -0.843
5.203 -0.353 1.034
-0.685 -0.815 3.169
Os N O Co
1 2 1 1
Cartesian
2.601 -0.176 0.517
-0.342 -0.408 1.584
-0.026 -1.617 -0.422
2.233 -2.201 1.680
0.000 0.000 0.000
```

As for the total DFT energy (no corrections): -29.307 eV/cell. For the density of states at the Fermi level, the calculation gives 1.050 states/eV per atom. The space-group type is P4/mmm, No. 123. The value obtained for the volume is 11.88 Å³/atom.